(1)
# K2BeCl, single point on PBEsol structure, DFT SCAN
data_K2BeCl
_cell_length_a 8.4823
_cell_length_b 8.4823
_cell_length_c 8.4996
_cell_angle_alpha 90.00
_cell_angle_beta 90.00
_cell_angle_gamma 90.00
_space_group_name_H-M_alt 'I -4 2 d'
_space_group_IT_number 122
_space_group_name_Hall 'I -4 2bw'
loop_
_atom_site_label
_atom_site_type_symbol
_atom_site_fract_x
_atom_site_fract_y
_atom_site_fract_z
_atom_site_occupancy
K1 K 0.2096 0.2500 0.1250 1
Be1 Be 0.0000 0.0000 0.5000 1
Cl1 Cl 0.0000 0.0000 0.0000 1
# - uncorrected formation energy (eV/atom) = -0.289
# - uncorrected energy (eV/atom) = -7.536
# - excess energy over the best structure of this formula in the dataset (eV/atom) = 0.098


(2)
# KBeSCl2, single point on PBEsol structure, DFT SCAN
data_KBeSCl2
_cell_length_a 5.6441
_cell_length_b 5.6441
_cell_length_c 5.5888
_cell_angle_alpha 90.00
_cell_angle_beta 90.00
_cell_angle_gamma 90.00
_space_group_name_H-M_alt 'P 4/m m m'
_space_group_IT_number 123
_space_group_name_Hall '-P 4 2'
loop_
_atom_site_label
_atom_site_type_symbol
_atom_site_fract_x
_atom_site_fract_y
_atom_site_fract_z
_atom_site_occupancy
K1 K 0.0000 0.0000 0.0000 1
Be1 Be 0.5000 0.5000 0.5000 1
S1 S 0.0000 0.0000 0.5000 1
Cl1 Cl 0.0000 0.5000 0.0000 1
# - uncorrected formation energy (eV/atom) = 0.553
# - uncorrected energy (eV/atom) = -7.100


(3)
# LaBeCl2, single point on PBEsol structure, DFT SCAN
data_LaBeCl2
_cell_length_a 3.6730
_cell_length_b 3.6730
_cell_length_c 6.3509
_cell_angle_alpha 90.00
_cell_angle_beta 90.00
_cell_angle_gamma 90.00
_space_group_name_H-M_alt 'P 4/m m m'
_space_group_IT_number 123
_space_group_name_Hall '-P 4 2'
loop_
_atom_site_label
_atom_site_type_symbol
_atom_site_fract_x
_atom_site_fract_y
_atom_site_fract_z
_atom_site_occupancy
La1 La 0.0000 0.0000 0.0000 1
Be1 Be 0.0000 0.0000 0.5000 1
Cl1 Cl 0.5000 0.5000 0.2346 1
# - uncorrected formation energy (eV/atom) = -0.890
# - uncorrected energy (eV/atom) = -16.744
# - excess energy over the best structure of this formula in the dataset (eV/atom) = 0.161


(4)
# LaBeCl2, single point on PBEsol structure, DFT SCAN
data_LaBeCl2
_cell_length_a 4.0209
_cell_length_b 5.9263
_cell_length_c 8.0718
_cell_angle_alpha 90.00
_cell_angle_beta 90.00
_cell_angle_gamma 90.00
_space_group_name_H-M_alt 'C m m 2'
_space_group_IT_number 35
_space_group_name_Hall 'C 2 -2'
loop_
_atom_site_label
_atom_site_type_symbol
_atom_site_fract_x
_atom_site_fract_y
_atom_site_fract_z
_atom_site_occupancy
La1 La 0.0000 0.0000 0.0000 1
Be1 Be 0.0000 0.5000 0.7516 1
Cl1 Cl 0.0000 0.0000 0.6305 1
Cl2 Cl 0.0000 0.5000 0.2438 1
# - uncorrected formation energy (eV/atom) = -1.034
# - uncorrected energy (eV/atom) = -16.888
# - excess energy over the best structure of this formula in the dataset (eV/atom) = 0.016


(5)
# LaBe2Cl, single point on PBEsol structure, DFT SCAN
data_LaBe2Cl
_cell_length_a 6.7661
_cell_length_b 6.7661
_cell_length_c 6.7661
_cell_angle_alpha 90.00
_cell_angle_beta 90.00
_cell_angle_gamma 90.00
_space_group_name_H-M_alt 'F m -3 m'
_space_group_IT_number 225
_space_group_name_Hall '-F 4 2 3'
loop_
_atom_site_label
_atom_site_type_symbol
_atom_site_fract_x
_atom_site_fract_y
_atom_site_fract_z
_atom_site_occupancy
La1 La 0.0000 0.0000 0.0000 1
Be1 Be 0.2500 0.2500 0.2500 1
Cl1 Cl 0.0000 0.0000 0.5000 1
# - uncorrected formation energy (eV/atom) = 0.559
# - uncorrected energy (eV/atom) = -14.388
# - excess energy over the best structure of this formula in the dataset (eV/atom) = 0.223


(6)
# LaBeCl2, single point on PBEsol structure, DFT SCAN
data_LaBeCl2
_cell_length_a 3.8071
_cell_length_b 4.9900
_cell_length_c 8.2390
_cell_angle_alpha 90.00
_cell_angle_beta 90.00
_cell_angle_gamma 90.00
_space_group_name_H-M_alt 'I m m m'
_space_group_IT_number 71
_space_group_name_Hall '-I 2 2'
loop_
_atom_site_label
_atom_site_type_symbol
_atom_site_fract_x
_atom_site_fract_y
_atom_site_fract_z
_atom_site_occupancy
La1 La 0.0000 0.0000 0.0000 1
Be1 Be 0.0000 0.0000 0.5000 1
Cl1 Cl 0.0000 0.5000 0.2082 1
# - uncorrected formation energy (eV/atom) = -1.051
# - uncorrected energy (eV/atom) = -16.904
# - excess energy over the best structure of this formula in the dataset (eV/atom) = 0.000


(7)
# LaBe2Cl, single point on PBEsol structure, DFT SCAN
data_LaBe2Cl
_cell_length_a 3.5007
_cell_length_b 3.5007
_cell_length_c 5.9969
_cell_angle_alpha 90.00
_cell_angle_beta 90.00
_cell_angle_gamma 90.00
_space_group_name_H-M_alt 'P 4/m m m'
_space_group_IT_number 123
_space_group_name_Hall '-P 4 2'
loop_
_atom_site_label
_atom_site_type_symbol
_atom_site_fract_x
_atom_site_fract_y
_atom_site_fract_z
_atom_site_occupancy
La1 La 0.0000 0.0000 0.0000 1
Be1 Be 0.5000 0.5000 0.3142 1
Cl1 Cl 0.0000 0.0000 0.5000 1
# - uncorrected formation energy (eV/atom) = 0.337
# - uncorrected energy (eV/atom) = -14.611
# - excess energy over the best structure of this formula in the dataset (eV/atom) = 0.000


(8)
# LaBeP2Cl, single point on PBEsol structure, DFT SCAN
data_LaBeP2Cl
_cell_length_a 4.2605
_cell_length_b 4.2605
_cell_length_c 5.0174
_cell_angle_alpha 90.00
_cell_angle_beta 90.00
_cell_angle_gamma 90.00
_space_group_name_H-M_alt 'P 4/m m m'
_space_group_IT_number 123
_space_group_name_Hall '-P 4 2'
loop_
_atom_site_label
_atom_site_type_symbol
_atom_site_fract_x
_atom_site_fract_y
_atom_site_fract_z
_atom_site_occupancy
La1 La 0.0000 0.0000 0.0000 1
Be1 Be 0.5000 0.5000 0.5000 1
P1 P 0.0000 0.5000 0.5000 1
Cl1 Cl 0.5000 0.5000 0.0000 1
# - uncorrected formation energy (eV/atom) = -0.832
# - uncorrected energy (eV/atom) = -16.079


(9)
# LaY2BeCl, single point on PBEsol structure, DFT SCAN
data_LaY2BeCl
_cell_length_a 5.1602
_cell_length_b 5.1602
_cell_length_c 5.5316
_cell_angle_alpha 90.00
_cell_angle_beta 90.00
_cell_angle_gamma 90.00
_space_group_name_H-M_alt 'P 4/m m m'
_space_group_IT_number 123
_space_group_name_Hall '-P 4 2'
loop_
_atom_site_label
_atom_site_type_symbol
_atom_site_fract_x
_atom_site_fract_y
_atom_site_fract_z
_atom_site_occupancy
La1 La 0.0000 0.0000 0.0000 1
Y1 Y 0.0000 0.5000 0.5000 1
Be1 Be 0.0000 0.0000 0.5000 1
Cl1 Cl 0.5000 0.5000 0.0000 1
# - uncorrected formation energy (eV/atom) = 0.012
# - uncorrected energy (eV/atom) = -22.213


(10)
# LiBe2Cl, single point on PBEsol structure, DFT SCAN
data_LiBe2Cl
_cell_length_a 6.4238
_cell_length_b 6.4238
_cell_length_c 6.4238
_cell_angle_alpha 90.00
_cell_angle_beta 90.00
_cell_angle_gamma 90.00
_space_group_name_H-M_alt 'F m -3 m'
_space_group_IT_number 225
_space_group_name_Hall '-F 4 2 3'
loop_
_atom_site_label
_atom_site_type_symbol
_atom_site_fract_x
_atom_site_fract_y
_atom_site_fract_z
_atom_site_occupancy
Li1 Li 0.0000 0.0000 0.0000 1
Be1 Be 0.2500 0.2500 0.2500 1
Cl1 Cl 0.0000 0.0000 0.5000 1
# - uncorrected formation energy (eV/atom) = 1.098
# - uncorrected energy (eV/atom) = -3.671
# - excess energy over the best structure of this formula in the dataset (eV/atom) = 1.299


(11)
# LiBeCl2, single point on PBEsol structure, DFT SCAN
data_LiBeCl2
_cell_length_a 3.4872
_cell_length_b 3.4872
_cell_length_c 20.3707
_cell_angle_alpha 90.00
_cell_angle_beta 90.00
_cell_angle_gamma 120.00
_space_group_name_H-M_alt 'R -3 m'
_space_group_IT_number 166
_space_group_name_Hall '-R 3 2"'
loop_
_atom_site_label
_atom_site_type_symbol
_atom_site_fract_x
_atom_site_fract_y
_atom_site_fract_z
_atom_site_occupancy
Li1 Li 0.0000 0.0000 0.0000 1
Be1 Be 0.0000 0.0000 0.5000 1
Cl1 Cl 0.0000 0.0000 0.4025 1
# - uncorrected formation energy (eV/atom) = -0.996
# - uncorrected energy (eV/atom) = -6.671


(12)
# Li2BeCl2, single point on PBEsol structure, DFT SCAN
data_Li2BeCl2
_cell_length_a 4.3301
_cell_length_b 4.3301
_cell_length_c 11.7978
_cell_angle_alpha 90.00
_cell_angle_beta 90.00
_cell_angle_gamma 90.00
_space_group_name_H-M_alt 'I 4/m m m'
_space_group_IT_number 139
_space_group_name_Hall '-I 4 2'
loop_
_atom_site_label
_atom_site_type_symbol
_atom_site_fract_x
_atom_site_fract_y
_atom_site_fract_z
_atom_site_occupancy
Li1 Li 0.0000 0.5000 0.2500 1
Be1 Be 0.0000 0.0000 0.0000 1
Cl1 Cl 0.0000 0.0000 0.3323 1
# - uncorrected formation energy (eV/atom) = -0.816
# - uncorrected energy (eV/atom) = -5.834


> Which of these has the highest uncorrected energy?

LiBe2Cl